The following is a GGA+U calculation of a relaxed LiNiOF2 crystal, from Alexandria.

Computed properties:
Total moment = 2.5 μB/f.u.
Volume = 58.2 Å³/f.u.
Excess energy over the best structure of this formula in the dataset = 328 meV per atom
Raw total energy = -21.2 eV per formula unit

CIF file:
```
data_LiNiOF2
_cell_length_a 3.9693
_cell_length_b 3.9693
_cell_length_c 3.6962
_cell_angle_alpha 90.00
_cell_angle_beta 90.00
_cell_angle_gamma 90.00
_symmetry_space_group_name_H-M 'P 4/m m m'
_symmetry_Int_Tables_number 123
_symmetry_space_group_name_Hall '-P 4 2'
loop_
_atom_site_label
_atom_site_type_symbol
_atom_site_fract_x
_atom_site_fract_y
_atom_site_fract_z
Li1 Li 0.0000 0.0000 0.0000
Ni1 Ni 0.5000 0.5000 0.5000
O1 O 0.5000 0.5000 0.0000
F1 F 0.0000 0.5000 0.5000
```